No. 1
Compound: CaTb3Cd4
Source: Alexandria
Functional: GGA-PBE
Structure: optimized geometry

Summary:
* space group: P4/mmm, No. 123
* DOS(E_F): 0.723 states/eV per atom
* E: -22.248 eV for the cell shown

Structure (extended XYZ):
```
8
Lattice="5.317 0.000 0.000 0.000 5.317 0.000 0.000 0.000 7.592" Properties=species:S:1:pos:R:3 pbc="T T T"
Ca 0.000 0.000 0.000
Tb 0.000 0.000 3.796
Tb 2.658 2.658 0.000
Tb 2.658 2.658 3.796
Cd 0.000 2.658 1.921
Cd 0.000 2.658 5.671
Cd 2.658 0.000 1.921
Cd 2.658 0.000 5.671
```

No. 2
Compound: MgCo2Ag
Source: Alexandria
Functional: GGA-PBE
Structure: optimized geometry

Summary:
* space group: I-4m2, No. 119
* DOS(E_F): 0.915 states/eV per atom
* E: -35.448 eV for the cell shown

Structure (extended XYZ):
```
8
Lattice="3.990 0.000 0.000 0.000 3.990 0.000 0.000 0.000 7.126" Properties=species:S:1:pos:R:3 pbc="T T T"
Mg 0.000 0.000 0.000
Mg 1.995 1.995 3.563
Co 0.000 0.000 3.563
Co 0.000 1.995 1.782
Co 1.995 0.000 5.345
Co 1.995 1.995 0.000
Ag 0.000 1.995 5.345
Ag 1.995 0.000 1.782
```

No. 3
Compound: NaIrRh2S
Source: Alexandria
Functional: GGA-PBE
Structure: optimized geometry

Summary:
* space group: P4/mmm, No. 123
* DOS(E_F): 1.758 states/eV per atom
* E: -25.650 eV for the cell shown
* ΔE_f (raw): 0.672 eV/atom

Structure (extended XYZ):
```
5
Lattice="4.349 0.000 0.000 0.000 4.349 0.000 0.000 0.000 4.657" Properties=species:S:1:pos:R:3 pbc="T T T"
Na 0.000 0.000 0.000
Ir 2.175 2.175 0.000
Rh 0.000 2.175 2.328
Rh 2.175 0.000 2.328
S 0.000 0.000 2.328
```

No. 4
Compound: V2ZnCl6
Source: Alexandria
Functional: GGA-PBE
Structure: optimized geometry

Summary:
* space group: C2/m, No. 12
* offset from the most stable computed form: 61.9 meV/atom
* E: -40.115 eV for the cell shown
* ΔE_f (raw): -1.058 eV/atom

Structure (extended XYZ):
```
9
Lattice="3.267 -5.367 0.000 3.267 5.367 0.000 -2.422 0.000 5.874" Properties=species:S:1:pos:R:3 pbc="T T T"
V 3.267 3.540 0.000
V 3.267 -3.540 0.000
Zn -1.211 0.000 2.937
Cl -0.372 1.820 4.521
Cl 0.757 0.000 1.512
Cl -0.372 -1.820 4.521
Cl 4.485 1.820 1.354
Cl 3.356 0.000 4.363
Cl 4.485 -1.820 1.354
```

No. 5
Compound: ZnNiBr
Source: Alexandria
Functional: GGA-PBE
Structure: optimized geometry

Summary:
* space group: P1, No. 1
* DOS(E_F): 0.500 states/eV per atom
* offset from the most stable computed form: 197.3 meV/atom
* E: -17.703 eV for the cell shown
* ΔE_f (raw): -0.041 eV/atom

Structure (extended XYZ):
```
6
Lattice="3.493 0.000 0.000 1.703 5.790 0.000 0.000 2.535 5.532" Properties=species:S:1:pos:R:3 pbc="T T T"
Zn 0.000 0.000 0.000
Zn 1.702 6.377 2.567
Ni 3.449 7.294 4.089
Ni 3.449 4.835 1.477
Br 1.717 3.530 2.961
Br 3.452 5.442 5.464
```

No. 6
Compound: Tl3H4Pt2
Source: Alexandria
Functional: GGA-PBE
Structure: optimized geometry

Summary:
* space group: C2/c, No. 15
* DOS(E_F): 0.137 states/eV per atom
* E: -65.590 eV for the cell shown

Structure (extended XYZ):
```
18
Lattice="6.781 -4.436 0.000 6.781 4.436 0.000 -0.127 0.000 4.858" Properties=species:S:1:pos:R:3 pbc="T T T"
Tl 6.686 3.238 3.644
Tl 5.127 1.146 0.719
Tl 8.372 1.146 1.710
Tl 5.063 -1.146 3.148
Tl 8.308 -1.146 4.139
Tl 6.749 -3.238 1.215
H 3.803 2.324 3.395
H 2.177 0.476 4.374
H 2.241 -0.476 1.945
H 9.568 2.324 3.892
H 3.867 -2.324 0.966
H 11.194 0.476 2.913
H 11.258 -0.476 0.484
H 9.632 -2.324 1.463
Pt 2.851 0.932 2.803
Pt 2.914 -0.932 0.374
Pt 10.520 0.932 4.484
Pt 10.584 -0.932 2.055
```

No. 7
Compound: Hf2BeZnN
Source: Alexandria
Functional: GGA-PBE
Structure: optimized geometry

Summary:
* space group: P4/mmm, No. 123
* DOS(E_F): 0.389 states/eV per atom
* E: -36.463 eV for the cell shown
* ΔE_f (raw): -0.646 eV/atom

Structure (extended XYZ):
```
5
Lattice="4.529 0.000 0.000 0.000 4.529 0.000 0.000 0.000 3.387" Properties=species:S:1:pos:R:3 pbc="T T T"
Hf 0.000 2.265 0.000
Hf 2.265 0.000 0.000
Be 0.000 0.000 1.693
Zn 2.265 2.265 1.693
N 0.000 0.000 0.000
```

No. 8
Compound: Ac4OsCl5
Source: Alexandria
Functional: GGA-PBE
Structure: optimized geometry

Summary:
* space group: C2/m, No. 12
* DOS(E_F): 0.405 states/eV per atom
* offset from the most stable computed form: 3.9 meV/atom
* E: -53.018 eV for the cell shown
* ΔE_f (raw): -1.612 eV/atom

Structure (extended XYZ):
```
10
Lattice="9.802 -2.156 0.000 9.802 2.156 0.000 -0.388 0.000 9.044" Properties=species:S:1:pos:R:3 pbc="T T T"
Ac -0.004 0.000 2.041
Ac 6.460 0.000 9.040
Ac 12.756 0.000 0.005
Ac 19.220 0.000 7.003
Os 9.802 0.000 0.000
Cl 2.700 0.000 6.946
Cl 3.073 0.000 2.113
Cl 9.608 0.000 4.522
Cl 16.143 0.000 6.932
Cl 16.516 0.000 2.099
```